[1]
# SrLiGa2Cu

An optimized crystal structure of SrLiGa2Cu (GGA-PBE, Alexandria).

Unit cell a=4.736 b=4.736 c=4.862 alpha=90.00 beta=90.00 gamma=90.00
Atoms (fractional coordinates):
Ga 0.000 0.500 0.000
Ga 0.500 0.000 0.000
Cu 0.000 0.000 0.000
Sr 0.500 0.500 0.500
Li 0.000 0.000 0.500

## Properties
E above lowest polymorph: 0.105 eV per atom
Calculated formation energy: -187 meV/atom

=====

[2]
# AsP2RhCl

An optimized crystal structure of AsP2RhCl (GGA-PBE, Alexandria).

Unit cell a=4.624 b=4.624 c=4.693 alpha=90.00 beta=90.00 gamma=90.00
Atoms (fractional coordinates):
As 0.500 0.500 0.500
P 0.500 0.000 0.000
P 0.000 0.500 0.000
Cl 0.000 0.000 0.500
Rh 0.000 0.000 0.000

## Properties
E above lowest polymorph: 0.000 eV per atom
Formation energy without anion corrections: 2.868 eV/f.u.

=====

[3]
# Ni2B3W2

An optimized crystal structure of Ni2B3W2 (GGA-PBE, Alexandria).

Unit cell a=3.222 b=6.177 c=7.746 alpha=83.32 beta=78.00 gamma=74.88
Atoms (fractional coordinates):
W 0.273 0.122 0.333
W 0.727 0.878 0.667
W 0.610 0.741 0.039
W 0.390 0.259 0.961
B 0.377 0.770 0.475
B 0.834 0.515 0.818
B 0.928 0.028 0.115
B 0.166 0.485 0.182
B 0.072 0.972 0.885
B 0.623 0.230 0.525
Ni 0.591 0.480 0.339
Ni 0.409 0.520 0.661
Ni 0.953 0.776 0.317
Ni 0.047 0.224 0.683

## Properties
Calculated formation energy: -186 meV/atom

=====

[4]
# AgHg2Ru

An optimized crystal structure of AgHg2Ru (GGA-PBE, Alexandria).

Unit cell a=4.150 b=4.150 c=10.132 alpha=78.18 beta=78.18 gamma=90.00
Each line ends with the local moment (μB).
Atoms (fractional coordinates):
Ru 0.500 0.500 0.000  1.15
Ru 0.250 0.750 0.500  1.17
Ag 0.000 0.000 0.000  0.01
Ag 0.750 0.250 0.500  0.01
Hg 0.375 0.382 0.750  -0.01
Hg 0.618 0.125 0.250  -0.02
Hg 0.875 0.868 0.750  -0.02
Hg 0.132 0.625 0.250  -0.02

## Properties
E above lowest polymorph: 0.315 eV per atom
Calculated formation energy: 700 meV/atom

=====

[5]
# Tb12Pr6Ho

An optimized crystal structure of Tb12Pr6Ho (GGA-PBE, Alexandria).

Unit cell a=8.756 b=8.756 c=8.756 alpha=79.37 beta=79.37 gamma=79.37
Atoms (fractional coordinates):
Tb 0.196 0.514 0.514
Tb 0.514 0.196 0.514
Tb 0.514 0.514 0.196
Tb 0.488 0.137 0.137
Tb 0.486 0.486 0.804
Tb 0.137 0.488 0.137
Tb 0.486 0.804 0.486
Tb 0.512 0.863 0.863
Tb 0.863 0.512 0.863
Tb 0.863 0.863 0.512
Tb 0.137 0.137 0.488
Tb 0.804 0.486 0.486
Pr 0.163 0.767 0.768
Pr 0.767 0.768 0.163
Pr 0.232 0.837 0.233
Pr 0.768 0.163 0.767
Pr 0.233 0.232 0.837
Pr 0.837 0.233 0.232
Ho 0.000 0.000 0.000

## Properties
E above lowest polymorph: 0.000 eV per atom
Calculated formation energy: 125 meV/atom

=====

[6]
# ZrAlIr

An optimized crystal structure of ZrAlIr (GGA-PBE, Alexandria).

Unit cell a=4.396 b=4.396 c=4.396 alpha=60.00 beta=60.00 gamma=60.00
Each line ends with the local moment (μB).
Atoms (fractional coordinates):
Ir 0.750 0.750 0.750  0.08
Zr 0.000 0.000 0.000  0.24
Al 0.500 0.500 0.500  0.03

## Properties
Calculated formation energy: -656 meV/atom

=====

[7]
# La2DyPuAs4

An optimized crystal structure of La2DyPuAs4 (GGA-PBE, Alexandria).

Unit cell a=4.257 b=7.353 c=7.362 alpha=109.45 beta=90.00 gamma=90.00
Each line ends with the local moment (μB).
Atoms (fractional coordinates):
Dy 0.500 0.500 0.000  0.01
As 0.000 0.254 0.764  -0.05
As 0.500 0.756 0.766  -0.08
As 0.500 0.244 0.234  -0.08
As 0.000 0.746 0.236  -0.05
La 0.500 0.000 0.500  0.01
La 0.000 0.500 0.500  -0.01
Pu 0.000 0.000 0.000  5.01

## Properties
Calculated formation energy: -1403 meV/atom

=====

[8]
# HoTa2VC4

An optimized crystal structure of HoTa2VC4 (GGA-PBE, Alexandria).

Unit cell a=3.204 b=5.784 c=11.189 alpha=90.00 beta=90.00 gamma=106.08
Atoms (fractional coordinates):
C 0.738 0.475 0.615
C 0.262 0.525 0.385
C 0.557 0.115 0.250
C 0.262 0.525 0.115
C 0.738 0.475 0.885
C 0.000 0.000 0.500
C 0.000 0.000 0.000
C 0.443 0.885 0.750
Ta 0.369 0.739 0.960
Ta 0.631 0.261 0.040
Ta 0.369 0.739 0.540
Ta 0.631 0.261 0.460
V 0.158 0.316 0.250
V 0.842 0.684 0.750
Ho 0.888 0.777 0.250
Ho 0.112 0.223 0.750

## Properties
Calculated formation energy: -396 meV/atom

=====

[9]
# Mg2Cd3

An optimized crystal structure of Mg2Cd3 (GGA-PBE, Alexandria).

Unit cell a=8.368 b=8.368 c=6.264 alpha=48.09 beta=48.09 gamma=60.00
Atoms (fractional coordinates):
Mg 0.877 0.877 0.370
Mg 0.377 0.377 0.870
Mg 0.623 0.623 0.130
Mg 0.123 0.123 0.630
Cd 0.437 0.063 0.750
Cd 0.937 0.250 0.250
Cd 0.063 0.750 0.750
Cd 0.250 0.563 0.250
Cd 0.750 0.437 0.750
Cd 0.563 0.937 0.250

## Properties
E above lowest polymorph: 0.129 eV per atom
Calculated formation energy: 83 meV/atom

=====

[10]
# Sr12LiCa3

An optimized crystal structure of Sr12LiCa3 (GGA-PBE, Alexandria).

Unit cell a=5.888 b=5.888 c=23.251 alpha=90.00 beta=90.00 gamma=90.00
Atoms (fractional coordinates):
Sr 0.500 0.000 0.120
Sr 0.500 0.500 0.755
Sr 0.500 0.500 0.000
Sr 0.500 0.500 0.500
Sr 0.500 0.500 0.245
Sr 0.000 0.500 0.373
Sr 0.000 0.500 0.880
Sr 0.000 0.500 0.120
Sr 0.500 0.000 0.880
Sr 0.000 0.500 0.627
Sr 0.500 0.000 0.373
Sr 0.500 0.000 0.627
Li 0.000 0.000 0.000
Ca 0.000 0.000 0.500
Ca 0.000 0.000 0.753
Ca 0.000 0.000 0.247

## Properties
Calculated formation energy: 28 meV/atom

=====

[11]
# ScPa2Os

An optimized crystal structure of ScPa2Os (GGA-PBE, Alexandria).

Unit cell a=3.066 b=3.066 c=10.790 alpha=81.83 beta=81.83 gamma=60.00
Atoms (fractional coordinates):
Pa 0.907 0.907 0.278
Pa 0.093 0.093 0.722
Sc 0.000 0.000 0.000
Os 0.500 0.500 0.500

## Properties
Calculated formation energy: 192 meV/atom

=====

[12]
# Dy2Co3Ni

An optimized crystal structure of Dy2Co3Ni (GGA-PBE, Alexandria).

Unit cell a=4.990 b=4.990 c=5.148 alpha=89.99 beta=118.94 gamma=120.06
Each line ends with the local moment (μB).
Atoms (fractional coordinates):
Co 0.500 0.500 0.500  1.13
Co 0.000 0.000 0.500  1.13
Co 0.500 0.000 0.500  1.12
Ni 0.000 0.000 0.000  0.12
Dy 0.244 0.622 0.866  -0.27
Dy 0.756 0.378 0.134  -0.27

## Properties
Calculated formation energy: -265 meV/atom

=====

Number 1: VASP energy -14.68 eV/cell. Number 2: VASP energy -21.80 eV/cell. Number 3: VASP energy -117.60 eV/cell. Number 4: VASP energy -19.86 eV/cell. Number 5: VASP energy -86.44 eV/cell. Number 6: VASP energy -23.12 eV/cell. Number 7: VASP energy -58.61 eV/cell. Number 8: VASP energy -154.93 eV/cell. Number 9: VASP energy -11.04 eV/cell. Number 10: VASP energy -27.66 eV/cell. Number 11: VASP energy -35.78 eV/cell. Number 12: VASP energy -37.89 eV/cell.